(1)
An optimized crystal structure of Ba2HoBiSe5. Source: the Alexandria database, functional PBE.

Formation energy from raw total energies ... -1.521 eV/atom
Uncorrected energy ... -86.840 eV/cell

Lattice parameters (Å, degrees): 4.4164 9.4683 14.1094 90.00 90.00 103.49
Fractional coordinates of all 18 atoms:
Ba 0.8583 0.7166 0.8043
Ba 0.1057 0.2114 0.6786
Ba 0.1417 0.2834 0.3043
Ba 0.8943 0.7886 0.1786
Ho 0.7855 0.5710 0.5216
Ho 0.2145 0.4290 0.0216
Bi 0.5338 0.0676 0.9515
Bi 0.4662 0.9324 0.4515
Se 0.3669 0.7339 0.9949
Se 0.6827 0.3654 0.8856
Se 0.4892 0.9783 0.7613
Se 0.2790 0.5579 0.6544
Se 0.9375 0.8750 0.5718
Se 0.6331 0.2661 0.4949
Se 0.3173 0.6346 0.3856
Se 0.5108 0.0217 0.2613
Se 0.7210 0.4421 0.1544
Se 0.0625 0.1250 0.0718

---

(2)
An optimized crystal structure of Ba3BiI3. Source: the Alexandria database, functional PBE.

Formation energy from raw total energies ... -1.460 eV/atom
Uncorrected energy ... -49.036 eV/cell

Lattice parameters (Å, degrees): 10.2264 10.2264 10.3485 59.62 59.62 58.76
Fractional coordinates of all 14 atoms:
Ba 0.9892 0.9892 0.7610
Ba 0.5002 0.9998 0.2274
Ba 0.9998 0.5002 0.2274
Ba 0.4998 0.0002 0.7726
Ba 0.0002 0.4998 0.7726
Ba 0.0108 0.0108 0.2390
Bi 0.2460 0.2460 0.0042
Bi 0.7540 0.7540 0.9958
I 0.2403 0.2403 0.5098
I 0.2378 0.7622 0.5000
I 0.7622 0.2378 0.5000
I 0.2383 0.7617 0.0000
I 0.7617 0.2383 0.0000
I 0.7597 0.7597 0.4902

---

(3)
An optimized crystal structure of Ba2BiI. Source: the Alexandria database, functional PBE.

Formation energy from raw total energies ... -1.025 eV/atom
DOS at the Fermi energy ... 0.000 states/eV/atom
Uncorrected energy ... -26.756 eV/cell

Lattice parameters (Å, degrees): 7.7713 7.7713 10.0820 67.33 67.33 90.00
Fractional coordinates of all 8 atoms:
I 0.5000 0.5000 0.0000
I 0.2500 0.7500 0.5000
Bi 0.0000 0.0000 0.0000
Bi 0.7500 0.2500 0.5000
Ba 0.6467 0.1250 0.2500
Ba 0.1033 0.6250 0.2500
Ba 0.3750 0.3533 0.7500
Ba 0.8750 0.8967 0.7500

---

(4)
An optimized crystal structure of BaBi3I. Source: the Alexandria database, functional PBE.

Formation energy from raw total energies ... 0.218 eV/atom
Offset from the most stable computed form ... 0.0 meV/atom
DOS at the Fermi energy ... 1.008 states/eV/atom
Uncorrected energy ... -14.028 eV/cell

Lattice parameters (Å, degrees): 6.0229 6.0229 6.0229 90.00 90.00 90.00
Fractional coordinates of all 5 atoms:
I 0.0000 0.0000 0.0000
Bi 0.0000 0.5000 0.0000
Bi 0.0000 0.0000 0.5000
Bi 0.5000 0.0000 0.0000
Ba 0.5000 0.5000 0.5000

---

(5)
An optimized crystal structure of Ba3BiI. Source: the Alexandria database, functional PBE.

Formation energy from raw total energies ... -0.603 eV/atom
Offset from the most stable computed form ... 236.9 meV/atom
DOS at the Fermi energy ... 1.406 states/eV/atom
Uncorrected energy ... -14.213 eV/cell

Lattice parameters (Å, degrees): 6.7969 6.7969 6.7969 90.00 90.00 90.00
Fractional coordinates of all 5 atoms:
I 0.5000 0.5000 0.5000
Bi 0.0000 0.0000 0.0000
Ba 0.0000 0.5000 0.0000
Ba 0.0000 0.0000 0.5000
Ba 0.5000 0.0000 0.0000

---

(6)
An optimized crystal structure of BaBiI2. Source: the Alexandria database, functional PBE.

Formation energy from raw total energies ... -0.730 eV/atom
Offset from the most stable computed form ... 0.0 meV/atom
DOS at the Fermi energy ... 0.784 states/eV/atom
Uncorrected energy ... -23.645 eV/cell

Lattice parameters (Å, degrees): 5.7293 5.7293 11.8281 75.98 75.98 90.00
Fractional coordinates of all 8 atoms:
I 0.6463 0.1250 0.2500
I 0.1037 0.6250 0.2500
I 0.3750 0.3537 0.7500
I 0.8750 0.8963 0.7500
Bi 0.0000 0.0000 0.0000
Bi 0.7500 0.2500 0.5000
Ba 0.5000 0.5000 0.0000
Ba 0.2500 0.7500 0.5000

---

(7)
An optimized crystal structure of Ba4BiI3. Source: the Alexandria database, functional PBE.

Formation energy from raw total energies ... -1.313 eV/atom
DOS at the Fermi energy ... 0.575 states/eV/atom
Uncorrected energy ... -53.456 eV/cell

Lattice parameters (Å, degrees): 8.7438 8.6958 10.1060 90.00 90.00 109.63
Fractional coordinates of all 16 atoms:
I 0.7500 0.0000 0.3739
I 0.2500 0.0000 0.6261
I 0.7500 0.5000 0.6248
I 0.7500 0.5000 0.1286
I 0.2500 0.5000 0.3752
I 0.2500 0.5000 0.8714
Ba 0.9916 0.2408 0.6289
Ba 0.4998 0.2347 0.8832
Ba 0.4916 0.2408 0.3711
Ba 0.9998 0.2347 0.1168
Ba 0.0002 0.7653 0.8832
Ba 0.5084 0.7592 0.6289
Ba 0.5002 0.7653 0.1168
Ba 0.0084 0.7592 0.3711
Bi 0.7500 0.0000 0.8706
Bi 0.2500 0.0000 0.1294

---

(8)
An optimized crystal structure of Ba2BiI. Source: the Alexandria database, functional PBE.

Formation energy from raw total energies ... -1.232 eV/atom
Uncorrected energy ... -56.824 eV/cell

Lattice parameters (Å, degrees): 8.8344 8.6217 10.2168 90.00 90.01 90.00
Fractional coordinates of all 16 atoms:
Ba 0.5000 0.7501 0.1459
Ba 0.0000 0.7499 0.1459
Ba 0.0001 0.2499 0.4061
Ba 0.0000 0.2501 0.8541
Ba 0.9999 0.7501 0.5939
Ba 0.4999 0.7499 0.5939
Ba 0.5000 0.2499 0.8541
Ba 0.5001 0.2501 0.4061
Bi 0.7500 0.0748 0.6407
Bi 0.2500 0.4252 0.6407
Bi 0.2500 0.9252 0.3593
Bi 0.7500 0.5748 0.3593
I 0.2498 0.4154 0.1199
I 0.2502 0.9154 0.8801
I 0.7498 0.0846 0.1199
I 0.7502 0.5846 0.8801

---

(9)
An optimized crystal structure of Ba4Bi2I. Source: the Alexandria database, functional PBE.

Formation energy from raw total energies ... -1.052 eV/atom
DOS at the Fermi energy ... 0.663 states/eV/atom
Uncorrected energy ... -48.729 eV/cell

Lattice parameters (Å, degrees): 9.3092 9.3092 9.3092 110.15 108.13 110.15
Fractional coordinates of all 14 atoms:
I 0.0000 0.0000 0.0000
I 0.7500 0.5000 0.2500
Ba 0.1358 0.8981 0.3917
Ba 0.6083 0.7441 0.5064
Ba 0.9877 0.6019 0.7436
Ba 0.2564 0.2441 0.8583
Ba 0.6142 0.7559 0.0123
Ba 0.7623 0.2559 0.8642
Ba 0.4936 0.1019 0.2377
Ba 0.1417 0.3981 0.3858
Bi 0.8750 0.1186 0.4936
Bi 0.5064 0.3814 0.6250
Bi 0.3750 0.8814 0.7564
Bi 0.2436 0.6186 0.1250

---

(10)
An optimized crystal structure of BaBiI. Source: the Alexandria database, functional PBE.

Formation energy from raw total energies ... -1.219 eV/atom
Offset from the most stable computed form ... 0.0 meV/atom
DOS at the Fermi energy ... 0.440 states/eV/atom
Uncorrected energy ... -22.019 eV/cell

Lattice parameters (Å, degrees): 4.6491 4.6679 12.9746 90.00 100.32 90.00
Fractional coordinates of all 6 atoms:
Ba 0.8628 0.7500 0.7256
Ba 0.1372 0.2500 0.2744
Bi 0.7501 0.2500 0.5002
Bi 0.2499 0.7500 0.4998
I 0.4174 0.2500 0.8347
I 0.5826 0.7500 0.1653

---

(11)
An optimized crystal structure of BaBi3I. Source: the Alexandria database, functional PBE.

Formation energy from raw total energies ... 0.759 eV/atom
Offset from the most stable computed form ... 541.8 meV/atom
DOS at the Fermi energy ... 1.322 states/eV/atom
Uncorrected energy ... -11.319 eV/cell

Lattice parameters (Å, degrees): 6.4710 6.4710 6.4710 90.00 90.00 90.00
Fractional coordinates of all 5 atoms:
I 0.5000 0.5000 0.5000
Bi 0.0000 0.5000 0.0000
Bi 0.0000 0.0000 0.5000
Bi 0.5000 0.0000 0.0000
Ba 0.0000 0.0000 0.0000

---

(12)
An optimized crystal structure of Ba4BiI5. Source: the Alexandria database, functional PBE.

Formation energy from raw total energies ... -1.598 eV/atom
Uncorrected energy ... -35.302 eV/cell

Lattice parameters (Å, degrees): 5.1451 9.9880 11.3254 107.63 103.13 90.00
Fractional coordinates of all 10 atoms:
Ba 0.3328 0.8794 0.6656
Ba 0.9974 0.7557 0.9949
Ba 0.6672 0.1206 0.3344
Ba 0.0026 0.2443 0.0051
Bi 0.5000 0.0000 0.0000
I 0.8304 0.6459 0.6609
I 0.8322 0.1264 0.6643
I 0.1678 0.8736 0.3357
I 0.5000 0.5000 0.0000
I 0.1696 0.3541 0.3391

---

(13)
An optimized crystal structure of BaBiI2. Source: the Alexandria database, functional PBE.

Formation energy from raw total energies ... -0.695 eV/atom
Offset from the most stable computed form ... 34.4 meV/atom
DOS at the Fermi energy ... 0.560 states/eV/atom
Uncorrected energy ... -11.685 eV/cell

Lattice parameters (Å, degrees): 6.1380 6.1380 6.1380 60.00 60.00 60.00
Fractional coordinates of all 4 atoms:
I 0.2500 0.2500 0.2500
I 0.7500 0.7500 0.7500
Bi 0.5000 0.5000 0.5000
Ba 0.0000 0.0000 0.0000

---

(14)
An optimized crystal structure of Ba3BiI2. Source: the Alexandria database, functional PBE.

Formation energy from raw total energies ... -1.329 eV/atom
Offset from the most stable computed form ... 0.0 meV/atom
DOS at the Fermi energy ... 0.327 states/eV/atom
Uncorrected energy ... -82.892 eV/cell

Lattice parameters (Å, degrees): 8.7687 8.7687 16.0675 100.44 100.44 109.63
Fractional coordinates of all 24 atoms:
Ba 0.1632 0.6797 0.8271
Ba 0.6639 0.1474 0.8271
Ba 0.0868 0.0703 0.6729
Ba 0.5861 0.6026 0.6729
Ba 0.0177 0.5177 0.5000
Ba 0.4823 0.9823 0.5000
Ba 0.3974 0.4139 0.3271
Ba 0.9297 0.9132 0.3271
Ba 0.8526 0.3361 0.1729
Ba 0.3203 0.8368 0.1729
Ba 0.2323 0.2323 0.0000
Ba 0.7677 0.7677 0.0000
Bi 0.9166 0.9166 0.8331
Bi 0.3334 0.8334 0.6669
Bi 0.1666 0.6666 0.3331
Bi 0.0834 0.0834 0.1669
I 0.9988 0.4988 0.9976
I 0.4182 0.4182 0.8364
I 0.8318 0.3318 0.6636
I 0.2512 0.2512 0.5024
I 0.7488 0.7488 0.4976
I 0.6682 0.1682 0.3364
I 0.5818 0.5818 0.1636
I 0.5012 0.0012 0.0024

---

(15)
An optimized crystal structure of Ba2BiI2. Source: the Alexandria database, functional PBE.

Formation energy from raw total energies ... -1.329 eV/atom
DOS at the Fermi energy ... 0.119 states/eV/atom
Uncorrected energy ... -69.882 eV/cell

Lattice parameters (Å, degrees): 10.1353 6.8181 13.5445 90.00 90.00 90.00
Fractional coordinates of all 20 atoms:
Ba 0.2559 0.0000 0.1193
Ba 0.7441 0.5000 0.1193
Ba 0.2441 0.5000 0.3807
Ba 0.7559 0.0000 0.3807
Ba 0.2441 0.0000 0.6193
Ba 0.7559 0.5000 0.6193
Ba 0.2559 0.5000 0.8807
Ba 0.7441 0.0000 0.8807
Bi 0.0000 0.2500 0.0000
Bi 0.0000 0.7500 0.0000
Bi 0.5000 0.7500 0.5000
Bi 0.5000 0.2500 0.5000
I 0.3783 0.5000 0.1365
I 0.6217 0.0000 0.1365
I 0.1217 0.0000 0.3635
I 0.8783 0.5000 0.3635
I 0.1217 0.5000 0.6365
I 0.8783 0.0000 0.6365
I 0.3783 0.0000 0.8635
I 0.6217 0.5000 0.8635

---

(16)
An optimized crystal structure of Ba2BiI. Source: the Alexandria database, functional PBE.

Formation energy from raw total energies ... -1.274 eV/atom
Uncorrected energy ... -14.372 eV/cell

Lattice parameters (Å, degrees): 5.0627 5.0627 9.2892 74.19 74.19 60.00
Fractional coordinates of all 4 atoms:
Ba 0.0726 0.0726 0.7822
Ba 0.2624 0.2624 0.2127
Bi 0.6676 0.6676 0.9971
I 0.4973 0.4973 0.5080

---

(17)
An optimized crystal structure of BaBiI3. Source: the Alexandria database, functional PBE.

Formation energy from raw total energies ... -0.514 eV/atom
Offset from the most stable computed form ... 72.4 meV/atom
DOS at the Fermi energy ... 3.003 states/eV/atom
Uncorrected energy ... -13.025 eV/cell

Lattice parameters (Å, degrees): 6.6872 6.6872 6.6872 90.00 90.00 90.00
Fractional coordinates of all 5 atoms:
I 0.0000 0.5000 0.0000
I 0.0000 0.0000 0.5000
I 0.5000 0.0000 0.0000
Bi 0.5000 0.5000 0.5000
Ba 0.0000 0.0000 0.0000

---

(18)
An optimized crystal structure of BaBiI3. Source: the Alexandria database, functional PBE.

Formation energy from raw total energies ... -0.587 eV/atom
Offset from the most stable computed form ... 0.0 meV/atom
DOS at the Fermi energy ... 0.653 states/eV/atom
Uncorrected energy ... -13.387 eV/cell

Lattice parameters (Å, degrees): 6.3021 6.3021 6.3021 90.00 90.00 90.00
Fractional coordinates of all 5 atoms:
I 0.0000 0.5000 0.0000
I 0.0000 0.0000 0.5000
I 0.5000 0.0000 0.0000
Bi 0.0000 0.0000 0.0000
Ba 0.5000 0.5000 0.5000

---

(19)
An optimized crystal structure of Ba2BiI. Source: the Alexandria database, functional PBE.

Formation energy from raw total energies ... -1.169 eV/atom
DOS at the Fermi energy ... 0.434 states/eV/atom
Uncorrected energy ... -13.952 eV/cell

Lattice parameters (Å, degrees): 4.3710 4.3710 8.9683 90.00 90.00 90.00
Fractional coordinates of all 4 atoms:
I 0.5000 0.5000 0.5000
Bi 0.5000 0.5000 0.0000
Ba 0.0000 0.0000 0.7851
Ba 0.0000 0.0000 0.2149

---

(20)
An optimized crystal structure of Ba3BiI. Source: the Alexandria database, functional PBE.

Formation energy from raw total energies ... -0.840 eV/atom
Offset from the most stable computed form ... 0.0 meV/atom
DOS at the Fermi energy ... 0.779 states/eV/atom
Uncorrected energy ... -61.590 eV/cell

Lattice parameters (Å, degrees): 7.2225 10.8328 13.7828 120.44 90.00 90.00
Fractional coordinates of all 20 atoms:
Ba 0.0944 0.7489 0.7056
Ba 0.9056 0.2511 0.2944
Ba 0.5944 0.7511 0.7944
Ba 0.4056 0.2489 0.2056
Ba 0.6460 0.6481 0.4629
Ba 0.3540 0.3519 0.5371
Ba 0.1460 0.8519 0.0371
Ba 0.8540 0.1481 0.9629
Ba 0.2262 0.5769 0.1466
Ba 0.7738 0.4231 0.8534
Ba 0.7262 0.9231 0.3534
Ba 0.2738 0.0769 0.6466
Bi 0.7838 0.0021 0.6656
Bi 0.2162 0.9979 0.3344
Bi 0.2838 0.4979 0.8344
Bi 0.7162 0.5021 0.1656
I 0.1675 0.5719 0.4105
I 0.8325 0.4281 0.5895
I 0.6675 0.9281 0.0895
I 0.3325 0.0719 0.9105

---

(21)
An optimized crystal structure of BaBiI. Source: the Alexandria database, functional PBE.

Formation energy from raw total energies ... -1.085 eV/atom
Offset from the most stable computed form ... 133.4 meV/atom
DOS at the Fermi energy ... 0.163 states/eV/atom
Uncorrected energy ... -21.219 eV/cell

Lattice parameters (Å, degrees): 4.6663 7.0824 9.2005 75.05 75.31 70.75
Fractional coordinates of all 6 atoms:
Ba 0.0344 0.3776 0.3467
Ba 0.0343 0.8776 0.8467
Bi 0.7878 0.4710 0.7462
Bi 0.2809 0.2841 0.9472
I 0.6318 0.0225 0.5073
I 0.4370 0.7326 0.1861

---

(22)
An optimized crystal structure of Ba6BiI8. Source: the Alexandria database, functional PBE.

Formation energy from raw total energies ... -1.567 eV/atom
DOS at the Fermi energy ... 0.356 states/eV/atom
Uncorrected energy ... -51.328 eV/cell

Lattice parameters (Å, degrees): 8.9141 8.9141 12.5275 69.16 69.16 60.00
Fractional coordinates of all 15 atoms:
Ba 0.9386 0.6246 0.1833
Ba 0.7465 0.0614 0.8167
Ba 0.3754 0.7465 0.8167
Ba 0.6246 0.2535 0.1833
Ba 0.2535 0.9386 0.1833
Ba 0.0614 0.3754 0.8167
Bi 0.0000 0.0000 0.0000
I 0.7672 0.4590 0.6616
I 0.8877 0.2328 0.3384
I 0.5410 0.8877 0.3384
I 0.3333 0.3333 0.0000
I 0.6667 0.6667 0.0000
I 0.4590 0.1123 0.6616
I 0.1123 0.7672 0.6616
I 0.2328 0.5410 0.3384